This record from the Alexandria database describes crystalline KScC at its relaxed geometry. The functional is PBE.

Geometry as POSCAR:
```
KScC
1.0
-5.7382 -0.3704 4.5959
-3.0688 -3.4451 -4.1233
-0.0104 -2.5007 2.1201
K C Sc
2 2 2
Cartesian
-6.3533 -2.0555 4.2299
-3.4800 -1.1963 1.3623
-5.0211 -5.1142 1.1639
-7.8887 -4.0725 2.4141
-3.5859 -4.4085 -0.5088
-6.4500 -3.3433 0.7292
```

Calculated values
relative energy among the computed polymorphs: 405.1 meV per atom
space-group type: Pm
electronic total energy: -31.11 eV for the cell shown
DFT formation energy: 367 meV/atom